1.
DFT (PBEsol) results for crystalline Tb3B7Mo at its relaxed geometry.

POSCAR file:
```
Tb3B7Mo
1.0
-1.335 -2.961 1.154
7.607 -0.279 2.934
-2.872 4.360 7.863
B Mo Tb
14 2 6
Direct
0.957 0.914 0.250
0.980 0.960 0.592
0.227 0.455 0.032
0.865 0.730 0.648
0.135 0.270 0.148
0.135 0.270 0.352
0.980 0.960 0.908
0.773 0.545 0.532
0.020 0.040 0.092
0.773 0.545 0.968
0.865 0.730 0.852
0.227 0.455 0.468
0.043 0.086 0.750
0.020 0.040 0.408
0.554 0.107 0.250
0.446 0.893 0.750
0.256 0.513 0.750
0.394 0.787 0.061
0.606 0.213 0.561
0.394 0.787 0.439
0.744 0.487 0.250
0.606 0.213 0.939
```

**Energy of formation from the pure elements**: -639 meV per atom
**Space group**: Cmcm, No. 63

---

2.
DFT (PBEsol) results for crystalline TcB3Mo at its relaxed geometry.

POSCAR file:
```
TcB3Mo
1.0
-0.077 0.797 -3.849
-3.841 -0.833 -0.096
-0.835 3.759 0.795
B Tc Mo
3 1 1
Direct
0.000 0.000 0.500
0.500 0.000 0.000
0.000 0.500 0.000
0.500 0.500 0.500
0.000 0.000 0.000
```

**Energy of formation from the pure elements**: 1607 meV per atom
**Space group**: Pm-3m, No. 221

---

3.
DFT (PBEsol) results for crystalline TcB2Mo2 at its relaxed geometry.

POSCAR file:
```
TcB2Mo2
1.0
-2.598 -1.098 -1.274
-1.008 -3.258 4.865
-3.067 4.499 2.377
Mo Tc B
4 2 4
Direct
0.500 0.172 0.672
0.500 0.672 0.828
0.500 0.328 0.172
0.500 0.828 0.328
0.000 0.000 0.000
0.000 0.500 0.500
0.000 0.386 0.886
0.000 0.614 0.114
0.000 0.886 0.614
0.000 0.114 0.386
```

**Energy of formation from the pure elements**: -429 meV per atom
**Space group**: P4/mbm, No. 127

---

4.
DFT (PBEsol) results for crystalline BTe3Mo at its relaxed geometry.

POSCAR file:
```
BTe3Mo
1.0
-3.170 -4.136 -0.130
0.467 -0.520 5.165
-4.112 3.129 0.687
Te B Mo
3 1 1
Direct
0.500 0.000 0.000
0.000 0.000 0.500
0.000 0.500 0.000
0.500 0.500 0.500
0.000 0.000 0.000
```

**E_tot**: -4.51 eV/atom
**Space group**: Pm-3m, No. 221

---

5.
DFT (PBEsol) results for crystalline BTeMo3 at its relaxed geometry.

POSCAR file:
```
BTeMo3
1.0
4.222 0.000 0.000
0.000 4.222 0.000
0.000 0.000 4.222
B Mo Te
1 3 1
Direct
0.000 0.000 0.000
0.000 0.000 0.500
0.000 0.500 0.000
0.500 0.000 0.000
0.500 0.500 0.500
```

**E_tot**: -8.75 eV/atom
**Space group**: Pm-3m, No. 221

---

6.
DFT (PBEsol) results for crystalline Ti3B4Mo3 at its relaxed geometry.

POSCAR file:
```
Ti3B4Mo3
1.0
-2.286 -2.023 -0.697
0.973 -2.866 5.124
-3.958 3.551 2.673
B Ti Mo
4 3 3
Direct
0.000 0.392 0.608
0.000 0.610 0.390
0.000 0.108 0.109
0.000 0.891 0.892
0.500 0.175 0.825
0.000 0.002 0.500
0.000 0.500 0.998
0.500 0.678 0.676
0.500 0.324 0.322
0.500 0.821 0.179
```

**Energy of formation from the pure elements**: -724 meV per atom
**Space group**: Amm2, No. 38

---

7.
DFT (PBEsol) results for crystalline Ti2B2Mo at its relaxed geometry.

POSCAR file:
```
Ti2B2Mo
1.0
-2.678 -1.619 -0.204
2.626 -4.677 2.649
-1.672 2.091 5.350
Ti B Mo
4 4 2
Direct
0.500 0.318 0.182
0.500 0.682 0.818
0.500 0.182 0.682
0.500 0.818 0.318
0.000 0.894 0.606
0.000 0.394 0.894
0.000 0.106 0.394
0.000 0.606 0.106
0.000 0.000 0.000
0.000 0.500 0.500
```

**Energy of formation from the pure elements**: -721 meV per atom
**Space group**: P4/mbm, No. 127

---

8.
DFT (PBEsol) results for crystalline TlB2Mo at its relaxed geometry.

POSCAR file:
```
TlB2Mo
1.0
-2.861 0.974 2.822
-0.721 -2.546 3.177
1.151 1.084 3.821
Tl Mo B
1 1 2
Direct
0.500 0.500 0.500
0.000 0.000 0.000
0.750 0.750 0.750
0.250 0.250 0.250
```

**Energy of formation from the pure elements**: 1472 meV per atom
**Space group**: Fm-3m, No. 225

---

9.
DFT (PBEsol) results for crystalline TlBMo3 at its relaxed geometry.

POSCAR file:
```
TlBMo3
1.0
4.882 0.000 0.000
0.000 4.882 0.000
0.000 0.000 4.882
Tl Mo B
1 3 1
Direct
0.000 0.000 0.000
0.000 0.000 0.500
0.500 0.000 0.000
0.000 0.500 0.000
0.500 0.500 0.500
```

**Energy of formation from the pure elements**: 3690 meV per atom
**Space group**: Pm-3m, No. 221

---

10.
DFT (PBEsol) results for crystalline U5B24Mo10 at its relaxed geometry.

POSCAR file:
```
U5B24Mo10
1.0
-1.628 2.590 -0.325
-3.207 -0.238 14.158
14.570 9.597 3.462
B Mo U
48 20 10
Direct
0.500 0.088 0.645
0.500 0.642 0.693
0.500 0.662 0.875
0.000 0.338 0.375
0.000 0.612 0.087
0.000 0.472 0.236
0.000 0.539 0.000
0.000 0.704 0.323
0.000 0.912 0.145
0.000 0.358 0.807
0.000 0.612 0.913
0.500 0.528 0.736
0.500 0.388 0.413
0.000 0.704 0.677
0.500 0.887 0.906
0.500 0.088 0.355
0.500 0.186 0.868
0.500 0.461 0.500
0.000 0.643 0.500
0.500 0.662 0.125
0.500 0.867 0.401
0.000 0.472 0.764
0.500 0.830 0.000
0.000 0.814 0.632
0.500 0.022 0.270
0.000 0.912 0.855
0.500 0.583 0.500
0.000 0.338 0.625
0.000 0.814 0.368
0.500 0.887 0.094
0.000 0.358 0.193
0.000 0.170 0.500
0.000 0.417 0.000
0.000 0.133 0.901
0.500 0.186 0.132
0.000 0.133 0.099
0.500 0.296 0.177
0.500 0.296 0.823
0.500 0.867 0.599
0.000 0.978 0.770
0.500 0.022 0.730
0.500 0.528 0.264
0.000 0.113 0.406
0.500 0.388 0.587
0.000 0.978 0.230
0.500 0.357 0.000
0.500 0.642 0.307
0.000 0.113 0.594
0.000 0.289 0.920
0.000 0.773 0.088
0.500 0.031 0.856
0.500 0.653 0.000
0.500 0.372 0.287
0.000 0.847 0.500
0.000 0.969 0.644
0.500 0.372 0.713
0.000 0.347 0.500
0.000 0.289 0.080
0.500 0.711 0.420
0.500 0.227 0.588
0.500 0.227 0.412
0.000 0.773 0.912
0.000 0.628 0.213
0.500 0.031 0.144
0.000 0.969 0.356
0.500 0.153 0.000
0.000 0.628 0.787
0.500 0.711 0.580
0.000 0.176 0.255
0.000 0.527 0.386
0.000 0.176 0.745
0.000 0.976 0.000
0.500 0.473 0.886
0.500 0.473 0.114
0.500 0.824 0.245
0.500 0.024 0.500
0.500 0.824 0.755
0.000 0.527 0.614
```

**Energy of formation from the pure elements**: -608 meV per atom
**Space group**: Pmmn, No. 59

---

11.
DFT (PBEsol) results for crystalline U2B6Mo at its relaxed geometry.

POSCAR file:
```
U2B6Mo
1.0
-0.164 -1.940 -3.088
1.840 -7.668 4.721
-11.031 -1.649 1.622
B Mo U
24 4 8
Direct
0.500 0.359 0.961
0.500 0.257 0.576
0.500 0.743 0.424
0.500 0.515 0.718
0.500 0.144 0.313
0.500 0.141 0.461
0.500 0.550 0.433
0.500 0.804 0.272
0.500 0.485 0.282
0.500 0.356 0.813
0.500 0.859 0.539
0.500 0.304 0.228
0.500 0.015 0.782
0.500 0.641 0.039
0.500 0.856 0.687
0.500 0.985 0.218
0.500 0.696 0.772
0.500 0.050 0.067
0.500 0.243 0.076
0.500 0.757 0.924
0.500 0.450 0.567
0.500 0.950 0.933
0.500 0.196 0.728
0.500 0.644 0.187
0.000 0.645 0.320
0.000 0.855 0.820
0.000 0.355 0.680
0.000 0.145 0.180
0.000 0.456 0.106
0.000 0.044 0.606
0.000 0.834 0.092
0.000 0.334 0.408
0.000 0.956 0.394
0.000 0.666 0.592
0.000 0.166 0.908
0.000 0.544 0.894
```

**Energy of formation from the pure elements**: -597 meV per atom
**Space group**: Pbam, No. 55

---

12.
DFT (PBEsol) results for crystalline VB2Mo2 at its relaxed geometry.

POSCAR file:
```
VB2Mo2
1.0
3.103 0.000 0.000
0.000 5.848 0.000
0.000 0.000 5.848
V B Mo
2 4 4
Direct
0.000 0.500 0.500
0.000 0.000 0.000
0.000 0.886 0.614
0.000 0.386 0.886
0.000 0.114 0.386
0.000 0.614 0.114
0.500 0.678 0.822
0.500 0.322 0.178
0.500 0.822 0.322
0.500 0.178 0.678
```

**Energy of formation from the pure elements**: -634 meV per atom
**Space group**: P4/mbm, No. 127